First-principles (PBE with a Hubbard U) data for a relaxed structure of Sr2Li2MoO6, as listed in the Alexandria database.

The structure in POSCAR format:
```
Sr2Li2MoO6
1.0
5.376 0.000 0.000
-2.688 4.656 0.000
0.000 0.000 5.552
Sr Li Mo O
2 2 1 6
direct
0.333 0.667 0.000
0.667 0.333 0.000
0.333 0.667 0.500
0.667 0.333 0.500
0.000 0.000 0.500
0.000 0.303 0.299
0.000 0.697 0.701
0.303 0.000 0.299
0.303 0.303 0.701
0.697 0.000 0.701
0.697 0.697 0.299
```

Calculated values
- Volume: 12.63 Å³/atom
- Magnetization: 0.00 μB per formula unit
- DFT total energy: -67.0 eV per formula unit